## NaLiAsPt (GGA-PBE)

Data for NaLiAsPt after structural relaxation.

Computed properties:
* magnetization: 0.000 μB/atom
* raw total energy: -62.469 eV per cell
* formation energy: -424 meV per atom
* density of states at the Fermi level: 2.203 states/eV/f.u.

Cell: 6.352 6.352 6.352 Å, 90.00 90.00 90.00°
Space group F-43m (No. 216)
Symmetry-distinct sites (fractional):
Na1 0.000 0.000 0.000
Li1 0.250 0.250 0.750
As1 0.250 0.250 0.250
Pt1 0.000 0.000 0.500